# Li3Pm2MnNi12 | Alexandria via LeMat-Bulk | PBE | relaxed
data_Li3Pm2MnNi12
_chemical_formula_sum 'Li9 Pm6 Mn3 Ni36'
_symmetry_space_group_name_H-M 'R -3 m'
_symmetry_Int_Tables_number 166
_symmetry_space_group_name_Hall '-R 3 2"'
_cell_length_a 5.7453
_cell_length_b 5.7453
_cell_length_c 27.1182
_cell_angle_alpha 90.00
_cell_angle_beta 90.00
_cell_angle_gamma 120.00
loop_
_atom_site_label
_atom_site_type_symbol
_atom_site_fract_x
_atom_site_fract_y
_atom_site_fract_z
Li1 Li 0.0000 0.5000 0.0000
Pm1 Pm 0.0000 0.0000 0.1438
Mn1 Mn 0.0000 0.0000 0.5000
Ni1 Ni 0.0362 0.5181 0.0992
Ni2 Ni 0.0648 0.5324 0.6184
# Formation energy ... 3.14 eV/f.u.
# Calculated total energy ... -5.036 eV/atom